VASP calculation (PBE-GGA) on crystalline TlCoBi2S at its relaxed geometry.

POSCAR file:
```
TlCoBi2S
1.0
5.745 0.000 0.000
0.000 4.062 0.000
0.000 0.000 5.745
Bi S Co Tl
2 1 1 1
direct
0.000 0.000 0.500 Bi
0.500 0.000 0.000 Bi
0.000 0.000 0.000 S
0.000 0.500 0.000 Co
0.500 0.500 0.500 Tl
```

M_tot, μB per formula unit: 1.10
Uncorrected energy, eV per atom: -3.998
Space group: P4/mmm


VASP calculation (PBE-GGA) on crystalline EuGdYMg at its relaxed geometry.

POSCAR file:
```
EuGdYMg
1.0
5.612 0.000 0.000
2.806 4.860 0.000
2.806 1.620 4.582
Gd Mg Eu Y
1 1 1 1
direct
0.750 0.750 0.750 Gd
0.000 0.000 0.000 Mg
0.500 0.500 0.500 Eu
0.250 0.250 0.250 Y
```

Energy relative to the elements, eV/atom: 0.067
M_tot, μB per formula unit: 14.43
Space group: F-43m


VASP calculation (PBE-GGA) on crystalline Ti2VRh6 at its relaxed geometry.

POSCAR file:
```
Ti2VRh6
1.0
4.097 0.000 -0.156
0.000 5.839 0.000
-1.808 -2.920 6.220
Rh Ti V
6 2 1
direct
0.164 0.411 0.329 Rh
0.500 0.756 0.000 Rh
0.836 0.082 0.671 Rh
0.500 0.244 0.000 Rh
0.836 0.589 0.671 Rh
0.164 0.918 0.329 Rh
0.334 0.333 0.667 Ti
0.666 0.667 0.333 Ti
0.000 0.000 0.000 V
```

Energy relative to the elements, eV/atom: -0.254
M_tot, μB per formula unit: 0.00
Space group: Immm